Record 1
PBE ZnSiMo2, relaxed; uncorrected formation energy = 0.09 eV/f.u.; energy above the lowest structure with this stoichiometry = 55 meV per atom; E_tot = -7.07 eV/atom
1.0
-4.2783 -0.4791 0.6012
-0.1790 -1.3644 -2.3611
0.7521 -4.6160 1.6738
Mo Si Zn
2 1 1
Cartesian
0.7314 -4.5379 1.5887
-1.9738 -1.7802 0.2495
0.2526 -3.1586 -0.7191
-1.6768 -4.5890 0.1247

---

Record 2
PBE Sn2SI, relaxed; uncorrected formation energy = -0.21 eV/f.u.; energy above the lowest structure with this stoichiometry = 165 meV per atom; E_tot = -3.47 eV/atom
1.0
-0.5460 3.1280 -4.8303
-4.4385 -3.3171 -1.6463
-8.0093 5.2578 0.8514
I S Sn
2 2 4
Cartesian
0.0000 0.0000 0.0000
-5.5238 4.1456 -3.6086
-2.4923 -0.0945 -3.2383
-7.4700 0.9231 -2.0166
-2.8401 2.5208 -2.4962
-4.9029 -0.0338 -1.9356
-8.3500 3.5183 -1.9659
-9.8945 4.1320 -4.8527

---

Record 3
PBE RbTe3H, relaxed; energy above the lowest structure with this stoichiometry = 125 meV per atom; E_tot = -2.57 eV/atom
1.0
5.0789 0.0000 0.0000
0.0000 5.0789 0.0000
0.0000 0.0000 5.0789
H Te Rb
1 3 1
Cartesian
0.0000 0.0000 0.0000
0.0000 2.5394 0.0000
0.0000 0.0000 2.5394
2.5394 0.0000 0.0000
2.5394 2.5394 2.5394

---

Record 4
PBE La2ZrSbF, relaxed; uncorrected formation energy = -0.27 eV/f.u.; E_tot = -4.93 eV/atom
1.0
6.1411 0.0000 0.0000
0.0000 5.3559 0.0000
0.0000 0.0000 6.1411
Sb F Zr La
1 1 1 2
Cartesian
0.0000 0.0000 0.0000
3.0706 2.6780 3.0706
0.0000 2.6780 0.0000
0.0000 0.0000 3.0706
3.0706 0.0000 0.0000

---

Record 5
PBE Ti13In3, relaxed; energy of formation = -0.05 eV per atom; E_tot = -6.98 eV/atom
1.0
-5.5678 -0.6362 -2.3117
2.1873 -3.4895 -4.4485
-1.1179 -6.3671 4.4448
Ti In
13 3
Cartesian
-0.8490 -5.3529 -4.4134
-1.9345 -3.7086 -2.2536
0.7663 -3.3816 -1.1833
-2.5024 -3.0363 -4.9787
-0.9005 -1.0812 -1.7753
0.1842 -2.7525 -3.8966
-1.4069 -8.5306 -2.1951
-2.4799 -6.8151 -0.0850
0.2084 -6.5593 1.0350
-4.0858 -4.5707 -0.6517
-3.0693 -6.2418 -2.7899
-1.4359 -4.2484 0.4764
-0.3988 -5.9272 -1.6676
-5.8489 -2.2573 -1.1818
-3.6010 -1.3599 -2.8537
-6.3980 -5.3847 1.0013